# 1
A plane-wave DFT calculation with GGA-PBEsol was carried out for an optimized crystal structure of La2TlIn.

Results
- theoretical density (g cm⁻³) = 8.5
- energy relative to the elements (kJ/mol of formula units) = -97
- total magnetic moment (μB per formula unit) = 0.00

Cell lengths 3.7047, 4.7072, 6.7020 Å; angles 90.00, 90.00, 90.00 degrees
Space group Pmm2 (No. 25)
One atom of each set of equivalent atoms:
La 0.0000 0.0000 0.0000 x1
La 0.5000 0.5000 0.2584 x1
Tl 0.0000 0.0000 0.5081 x1
In 0.5000 0.5000 0.7577 x1

---

# 2
A plane-wave DFT calculation with GGA-PBEsol was carried out for an optimized crystal structure of LaInW.

Results
- theoretical density (g cm⁻³) = 9.8
- energy relative to the elements (kJ/mol of formula units) = 249
- total magnetic moment (μB per formula unit) = 0.00

Cell lengths 6.6733, 6.6733, 6.6733 Å; angles 90.00, 90.00, 90.00 degrees
Space group F-43m (No. 216)
One atom of each set of equivalent atoms:
La 0.0000 0.0000 0.0000 x4
In 0.0000 0.0000 0.5000 x4
W 0.2500 0.2500 0.2500 x4

---

# 3
A plane-wave DFT calculation with GGA-PBEsol was carried out for an optimized crystal structure of LaYIn.

Results
- theoretical density (g cm⁻³) = 6.1
- energy relative to the elements (kJ/mol of formula units) = 66
- total magnetic moment (μB per formula unit) = 0.37
- offset from the most stable computed form (meV/atom) = 556

Cell lengths 7.2055, 7.2055, 7.2055 Å; angles 90.00, 90.00, 90.00 degrees
Space group F-43m (No. 216)
One atom of each set of equivalent atoms:
La 0.0000 0.0000 0.0000 x4
Y 0.2500 0.2500 0.7500 x4
In 0.0000 0.0000 0.5000 x4